(1)
Density functional theory data (PBE-GGA) for a relaxed CeAgPdPb crystal.

M_tot (μB per formula unit): 0.7
Energy (eV/atom): -4.8224
E_form (eV/atom): -0.401

abc: 7.1072 7.1072 7.1072
angles: 90.00 90.00 90.00
Space group F-43m (No. 216)
One atom of each set of equivalent atoms:
Ce 0.0000 0.0000 0.0000 [4 per cell]
Ag 0.2500 0.2500 0.7500 [4 per cell]
Pd 0.2500 0.2500 0.2500 [4 per cell]
Pb 0.0000 0.0000 0.5000 [4 per cell]


(2)
Density functional theory data (PBE-GGA) for a relaxed LiFeP2S crystal.

M_tot (μB per formula unit): 0.0
Energy (eV/atom): -3.9269
E_form (uncorrected) (kJ/mol of formula units): 549

abc: 4.1621 4.1621 4.3445
angles: 90.00 90.00 90.00
Space group P4/mmm (No. 123)
One atom of each set of equivalent atoms:
Li 0.0000 0.0000 0.0000 [1 per cell]
Fe 0.5000 0.5000 0.5000 [1 per cell]
P 0.0000 0.5000 0.0000 [2 per cell]
S 0.0000 0.0000 0.5000 [1 per cell]


(3)
Density functional theory data (PBE-GGA) for a relaxed Ba2UTlO6 crystal.

M_tot (μB per formula unit): 0.0
Energy (eV/atom): -7.2803
E_form (uncorrected) (kJ/mol of formula units): -2466

abc: 10.9548 6.2728 6.3823
angles: 90.00 124.90 90.00
Space group C2/m (No. 12)
One atom of each set of equivalent atoms:
Ba 0.2500 0.0000 0.2352 [4 per cell]
U 0.0000 0.5000 0.0000 [2 per cell]
Tl 0.0000 0.0000 0.5000 [2 per cell]
O 0.0566 0.2688 0.8312 [8 per cell]
O 0.2205 0.5000 0.3154 [4 per cell]


(4)
Density functional theory data (PBE-GGA) for a relaxed ScCuSb2 crystal.

M_tot (μB per formula unit): 0.0
Energy (eV/atom): -4.8602
E_form (uncorrected) (kJ/mol of formula units): -74

abc: 7.9274 3.9409 6.0324
angles: 90.00 103.78 90.00
Space group C2/m (No. 12)
One atom of each set of equivalent atoms:
Sc 0.0000 0.0000 0.0000 [2 per cell]
Cu 0.0000 0.5000 0.5000 [2 per cell]
Sb 0.2470 0.5000 0.2745 [4 per cell]


(5)
Density functional theory data (PBE-GGA) for a relaxed MgCu2 crystal.

M_tot (μB per formula unit): 0.0
Energy (eV/atom): -3.1495
E_form (eV/atom): 0.113

abc: 3.3909 3.3909 4.3540
angles: 90.00 90.00 90.00
Space group P4/mmm (No. 123)
One atom of each set of equivalent atoms:
Mg 0.0000 0.0000 0.0000 [1 per cell]
Cu 0.0000 0.5000 0.5000 [2 per cell]


(6)
Density functional theory data (PBE-GGA) for a relaxed K4CaZr2 crystal.

M_tot (μB per formula unit): 1.3
Energy (eV/atom): -2.2717
E_form (eV/atom): 1.084

abc: 7.0300 7.0300 17.7970
angles: 90.00 90.00 90.00
Space group I4/mmm (No. 139)
One atom of each set of equivalent atoms:
K 0.0000 0.0000 0.2208 [4 per cell]
K 0.0000 0.5000 0.0000 [4 per cell]
Ca 0.0000 0.0000 0.0000 [2 per cell]
Zr 0.0000 0.0000 0.4331 [4 per cell]


(7)
Density functional theory data (PBE-GGA) for a relaxed SrPBr2 crystal.

M_tot (μB per formula unit): 0.9
Energy (eV/atom): -3.3249
E_form (uncorrected) (kJ/mol of formula units): -276

abc: 4.3509 4.7063 13.8015
angles: 90.00 90.00 90.00
Space group Immm (No. 71)
One atom of each set of equivalent atoms:
Sr 0.0000 0.0000 0.0000 [2 per cell]
P 0.0000 0.0000 0.5000 [2 per cell]
Br 0.0000 0.5000 0.1447 [4 per cell]


(8)
Density functional theory data (PBE-GGA) for a relaxed Tb3HoZn crystal.

M_tot (μB per formula unit): 0.0
Energy (eV/atom): -3.9672
E_form (eV/atom): -0.019

abc: 11.1173 7.3207 7.6916
angles: 90.00 110.05 90.00
Space group C2/m (No. 12)
One atom of each set of equivalent atoms:
Tb 0.0635 0.0000 0.2347 [4 per cell]
Tb 0.1601 0.2502 0.6500 [8 per cell]
Ho 0.0639 0.5000 0.2361 [4 per cell]
Zn 0.2476 0.5000 0.0002 [4 per cell]